1.
Density functional theory data (meta-GGA SCAN) for a PBEsol-optimized structure of AlCo2Ag.

**Mass density**: 8.29 g/cm3
**E_tot**: -18.350 eV/atom
**Total magnetization**: 2.9 μB per formula unit
**DOS at the Fermi energy**: 0.439 states/eV/atom
**ΔH_f (0 K)**: 0.082 eV per atom

Cell: 8.3725 8.3725 8.3725 Å, 18.32 18.32 18.32°
Atoms (fractional coordinates):
Al 0.0000 0.0000 0.0000
Co 0.2565 0.2565 0.2565
Co 0.7435 0.7435 0.7435
Ag 0.5000 0.5000 0.5000

=====

2.
Density functional theory data (meta-GGA SCAN) for a PBEsol-optimized structure of Al2CoAg.

**Mass density**: 6.75 g/cm3
**E_tot**: -16.421 eV/atom
**Total magnetization**: 0.6 μB per formula unit
**DOS at the Fermi energy**: 0.267 states/eV/atom
**ΔH_f (0 K)**: -0.377 eV per atom

Cell: 2.8553 2.8553 6.6598 Å, 90.00 90.00 90.00°
Atoms (fractional coordinates):
Al 0.0000 0.0000 0.2085
Al 0.0000 0.0000 0.7915
Co 0.5000 0.5000 0.0000
Ag 0.5000 0.5000 0.5000

=====

3.
Density functional theory data (meta-GGA SCAN) for a PBEsol-optimized structure of Al3CoAg.

**Mass density**: 4.77 g/cm3
**E_tot**: -14.356 eV/atom
**Total magnetization**: 0.0 μB per formula unit
**DOS at the Fermi energy**: 0.237 states/eV/atom
**ΔH_f (0 K)**: 0.030 eV per atom

Cell: 4.4177 4.4177 4.4177 Å, 90.00 90.00 90.00°
Atoms (fractional coordinates):
Al 0.0000 0.0000 0.5000
Al 0.0000 0.5000 0.0000
Al 0.5000 0.0000 0.0000
Co 0.0000 0.0000 0.0000
Ag 0.5000 0.5000 0.5000

=====

4.
Density functional theory data (meta-GGA SCAN) for a PBEsol-optimized structure of AlCoAg.

**Mass density**: 6.54 g/cm3
**E_tot**: -18.338 eV/atom
**Total magnetization**: 1.8 μB per formula unit
**DOS at the Fermi energy**: 0.983 states/eV/atom
**ΔH_f (0 K)**: 0.470 eV per atom

Cell: 4.1139 4.1139 4.1139 Å, 60.00 60.00 60.00°
Atoms (fractional coordinates):
Al 0.0000 0.0000 0.0000
Co 0.5000 0.5000 0.5000
Ag 0.7500 0.7500 0.7500